ErNb2CuGe2 | PBE | optimized geometry

Calculated values
spin magnetization: 0.0 Bohr magnetons per cell
VASP energy: -39.54 eV per cell

Lattice parameters (Å, degrees): 3.949 3.949 7.340 90.00 90.00 90.00
Space group P4mm (No. 99)
Symmetry-distinct sites (fractional):
Er1 0.000 0.000 0.000 [1 per cell]
Nb1 0.000 0.500 0.368 [2 per cell]
Cu1 0.500 0.500 0.679 [1 per cell]
Ge1 0.000 0.000 0.628 [1 per cell]
Ge2 0.500 0.500 0.098 [1 per cell]